PaInS2N | PBE | relaxed

```
PaInS2N
1.0
3.811 0.000 0.000
0.000 3.811 0.000
0.000 0.000 13.658
Pa In S N
2 2 4 2
Direct
0.250 0.250 0.091 Pa
0.750 0.750 0.909 Pa
0.250 0.250 0.612 In
0.750 0.750 0.388 In
0.250 0.250 0.394 S
0.250 0.250 0.814 S
0.750 0.750 0.186 S
0.750 0.750 0.606 S
0.250 0.750 0.000 N
0.750 0.250 0.000 N
```

- Final energy: -7.017 eV per atom
- SG: P4/nmm, No. 129

---

VFe | PBE | relaxed

```
VFe
1.0
2.878 0.000 0.000
0.000 2.878 0.000
0.000 0.000 2.878
V Fe
1 1
Direct
0.000 0.000 0.000 V
0.500 0.500 0.500 Fe
```

- DFT formation energy: -2.9 kcal/mol of atoms
- SG: Pm-3m, No. 221

---

Li2HfTcO6 | PBE | relaxed

```
Li2HfTcO6
1.0
5.587 0.000 0.000
0.000 5.587 0.000
0.000 0.000 4.142
Li Hf Tc O
2 1 1 6
Direct
0.000 0.500 0.000 Li
0.500 0.000 0.000 Li
0.000 0.000 0.774 Hf
0.500 0.500 0.722 Tc
0.000 0.000 0.298 O
0.264 0.264 0.827 O
0.264 0.736 0.827 O
0.500 0.500 0.311 O
0.736 0.264 0.827 O
0.736 0.736 0.827 O
```

- Final energy: -7.510 eV per atom
- SG: P4mm, No. 99

---

Tb4Ge3Pt | PBE | relaxed

```
Tb4Ge3Pt
1.0
4.105 0.000 0.000
0.000 4.159 0.000
0.000 0.000 10.888
Tb Ge Pt
4 3 1
Direct
0.000 0.000 0.000 Tb
0.000 0.500 0.491 Tb
0.500 0.000 0.717 Tb
0.500 0.500 0.221 Tb
0.000 0.500 0.771 Ge
0.500 0.000 0.442 Ge
0.500 0.500 0.936 Ge
0.000 0.000 0.270 Pt
```

- DFT formation energy: -22.1 kcal/mol of atoms
- SG: Pmm2, No. 25

---

AcP2Rh5Au | PBE | relaxed

```
AcP2Rh5Au
1.0
4.085 0.000 0.000
0.000 4.085 0.000
0.000 0.000 10.234
Ac P Rh Au
1 2 5 1
Direct
0.000 0.000 0.000 Ac
0.500 0.500 0.224 P
0.500 0.500 0.776 P
0.000 0.500 0.324 Rh
0.000 0.500 0.676 Rh
0.500 0.000 0.324 Rh
0.500 0.000 0.676 Rh
0.500 0.500 0.000 Rh
0.000 0.000 0.500 Au
```

- DFT formation energy: -11.3 kcal/mol of atoms
- SG: P4/mmm, No. 123

---

ScCd2Br | PBE | relaxed

```
ScCd2Br
1.0
10.831 0.000 0.000
0.000 3.408 0.000
-2.477 0.000 5.373
Sc Cd Br
2 4 2
Direct
0.000 0.000 0.000 Sc
0.500 0.500 0.000 Sc
0.227 0.500 0.421 Cd
0.491 0.000 0.559 Cd
0.727 0.000 0.421 Cd
0.991 0.500 0.559 Cd
0.301 0.000 0.980 Br
0.801 0.500 0.980 Br
```

- Final energy: -2.822 eV per atom
- SG: Cm, No. 8

---

LaBeZnHRhS | PBE | relaxed

```
LaBeZnHRhS
1.0
4.223 0.000 0.000
2.105 3.741 0.000
2.111 0.495 6.225
La Be Zn H Rh S
1 1 1 1 1 1
Direct
0.000 0.000 0.000 La
0.166 0.302 0.366 Be
0.780 0.957 0.486 Zn
0.618 0.658 0.105 H
0.495 0.640 0.371 Rh
0.430 0.377 0.764 S
```

- Final energy: -4.808 eV per atom
- SG: P1, No. 1

---

Tb4IrRh2 | PBE | relaxed

```
Tb4IrRh2
1.0
2.416 1.395 7.963
-2.416 1.395 7.963
0.000 -2.790 7.963
Tb Ir Rh
4 1 2
Direct
0.125 0.125 0.125 Tb
0.375 0.375 0.375 Tb
0.625 0.625 0.625 Tb
0.875 0.875 0.875 Tb
0.000 0.000 0.000 Ir
0.250 0.250 0.250 Rh
0.750 0.750 0.750 Rh
```

- DFT formation energy: -17.3 kcal/mol of atoms
- SG: R-3m, No. 166

---

Si2IrRh3 | PBE | relaxed

```
Si2IrRh3
1.0
-2.703 5.934 2.704
2.703 -5.934 2.704
2.703 5.934 -2.704
Si Ir Rh
4 2 6
Direct
0.125 0.246 0.371 Si
0.375 0.746 0.120 Si
0.625 0.254 0.880 Si
0.875 0.754 0.629 Si
0.250 0.750 0.500 Ir
0.750 0.250 0.500 Ir
0.182 0.740 0.923 Rh
0.250 0.250 0.000 Rh
0.318 0.240 0.558 Rh
0.682 0.760 0.442 Rh
0.750 0.750 0.000 Rh
0.818 0.260 0.077 Rh
```

- Final energy: -7.472 eV per atom
- SG: Ibam, No. 72

---

Mn2VIrN | PBE | relaxed

```
Mn2VIrN
1.0
4.500 0.000 0.000
0.000 4.500 0.000
0.000 0.000 4.416
Mn V Ir N
2 1 1 1
Direct
0.000 0.500 0.000 Mn
0.500 0.000 0.000 Mn
0.000 0.000 0.000 V
0.000 0.000 0.500 Ir
0.500 0.500 0.500 N
```

- Final energy: -6.886 eV per atom
- SG: P4/mmm, No. 123

---

Cd2RePb | PBE | relaxed

```
Cd2RePb
1.0
6.929 0.000 0.000
0.000 6.929 0.000
0.000 0.000 6.929
Cd Re Pb
8 4 4
Direct
0.000 0.000 0.000 Cd
0.000 0.500 0.500 Cd
0.250 0.250 0.250 Cd
0.250 0.750 0.750 Cd
0.500 0.000 0.500 Cd
0.500 0.500 0.000 Cd
0.750 0.250 0.750 Cd
0.750 0.750 0.250 Cd
0.000 0.000 0.500 Re
0.000 0.500 0.000 Re
0.500 0.000 0.000 Re
0.500 0.500 0.500 Re
0.250 0.250 0.750 Pb
0.250 0.750 0.250 Pb
0.750 0.250 0.250 Pb
0.750 0.750 0.750 Pb
```

- DFT formation energy: 20.8 kcal/mol of atoms
- SG: F-43m, No. 216

---

PmPaPN2 | PBE | relaxed

```
PmPaPN2
1.0
3.870 0.000 0.000
0.000 3.870 0.000
0.000 0.000 12.507
Pm Pa P N
2 2 2 4
Direct
0.000 0.000 0.000 Pm
0.500 0.500 0.500 Pm
0.000 0.000 0.310 Pa
0.500 0.500 0.810 Pa
0.000 0.000 0.656 P
0.500 0.500 0.156 P
0.000 0.500 0.390 N
0.000 0.500 0.890 N
0.500 0.000 0.390 N
0.500 0.000 0.890 N
```

- Final energy: -8.551 eV per atom
- SG: I4mm, No. 107

---

ZrInTe2 | PBE | relaxed

```
ZrInTe2
1.0
3.953 0.000 0.000
-1.976 3.423 0.000
0.000 0.000 26.439
Zr In Te
3 3 6
Direct
0.000 0.000 0.000 Zr
0.333 0.667 0.667 Zr
0.667 0.333 0.333 Zr
0.000 0.000 0.836 In
0.333 0.667 0.503 In
0.667 0.333 0.170 In
0.000 0.000 0.403 Te
0.000 0.000 0.597 Te
0.333 0.667 0.069 Te
0.333 0.667 0.263 Te
0.667 0.333 0.736 Te
0.667 0.333 0.930 Te
```

- Final energy: -5.009 eV per atom
- SG: R3m, No. 160

---

RbBa | PBE | relaxed

```
RbBa
1.0
4.636 0.000 0.000
-2.318 4.015 0.000
0.000 0.000 16.038
Rb Ba
2 2
Direct
0.333 0.667 0.136 Rb
0.667 0.333 0.864 Rb
0.333 0.667 0.612 Ba
0.667 0.333 0.388 Ba
```

- DFT formation energy: 1.5 kcal/mol of atoms
- SG: P-3m1, No. 164

---

LaPmNd2Ho2 | PBE | relaxed

```
LaPmNd2Ho2
1.0
7.062 0.000 0.000
0.000 16.477 0.000
0.000 0.000 3.564
La Pm Nd Ho
2 2 4 4
Direct
0.000 0.000 0.000 La
0.500 0.500 0.500 La
0.000 0.500 0.500 Pm
0.500 0.000 0.000 Pm
0.247 0.339 0.000 Nd
0.253 0.839 0.500 Nd
0.747 0.161 0.500 Nd
0.753 0.661 0.000 Nd
0.249 0.155 0.500 Ho
0.251 0.655 0.000 Ho
0.749 0.345 0.000 Ho
0.751 0.845 0.500 Ho
```

- DFT formation energy: 3.5 kcal/mol of atoms
- SG: Pnnm, No. 58

---

SrCd4Fe | PBE | relaxed

```
SrCd4Fe
1.0
0.000 4.127 4.127
4.127 0.000 4.127
4.127 4.127 0.000
Sr Cd Fe
1 4 1
Direct
0.000 0.000 0.000 Sr
0.128 0.624 0.624 Cd
0.624 0.128 0.624 Cd
0.624 0.624 0.128 Cd
0.624 0.624 0.624 Cd
0.250 0.250 0.250 Fe
```

- DFT formation energy: 4.4 kcal/mol of atoms
- SG: F-43m, No. 216

---

LiReGeCl2 | PBE | relaxed

```
LiReGeCl2
1.0
5.164 0.000 0.000
0.000 5.164 0.000
0.000 0.000 5.280
Li Re Ge Cl
1 1 1 2
Direct
0.000 0.000 0.000 Li
0.500 0.500 0.000 Re
0.000 0.000 0.500 Ge
0.000 0.500 0.500 Cl
0.500 0.000 0.500 Cl
```

- Final energy: -3.529 eV per atom
- SG: P4/mmm, No. 123

---

Pm2Pd2Pb | PBE | relaxed

```
Pm2Pd2Pb
1.0
7.995 0.000 0.000
0.000 7.995 0.000
0.000 0.000 3.781
Pm Pd Pb
4 4 2
Direct
0.175 0.325 0.000 Pm
0.325 0.825 0.000 Pm
0.675 0.175 0.000 Pm
0.825 0.675 0.000 Pm
0.124 0.624 0.500 Pd
0.376 0.124 0.500 Pd
0.624 0.876 0.500 Pd
0.876 0.376 0.500 Pd
0.000 0.000 0.500 Pb
0.500 0.500 0.500 Pb
```

- DFT formation energy: -18.6 kcal/mol of atoms
- SG: P4/mbm, No. 127

---

Be6SiPd12 | PBE | relaxed

```
Be6SiPd12
1.0
5.233 3.021 2.849
-5.233 3.021 2.849
0.000 -6.042 2.849
Be Si Pd
6 1 12
Direct
0.120 0.645 0.826 Be
0.174 0.880 0.355 Be
0.355 0.174 0.880 Be
0.645 0.826 0.120 Be
0.826 0.120 0.645 Be
0.880 0.355 0.174 Be
0.500 0.500 0.500 Si
0.052 0.910 0.673 Pd
0.090 0.327 0.948 Pd
0.171 0.575 0.432 Pd
0.327 0.948 0.090 Pd
0.425 0.568 0.829 Pd
0.432 0.171 0.575 Pd
0.568 0.829 0.425 Pd
0.575 0.432 0.171 Pd
0.673 0.052 0.910 Pd
0.829 0.425 0.568 Pd
0.910 0.673 0.052 Pd
0.948 0.090 0.327 Pd
```

- Final energy: -5.066 eV per atom
- SG: R-3, No. 148

---

Sr2InS4 | PBE | relaxed

```
Sr2InS4
1.0
5.066 0.000 0.000
0.000 5.066 0.000
0.000 0.000 14.842
Sr In S
4 2 8
Direct
0.000 0.000 0.133 Sr
0.000 0.000 0.867 Sr
0.500 0.500 0.367 Sr
0.500 0.500 0.633 Sr
0.000 0.000 0.500 In
0.500 0.500 0.000 In
0.000 0.000 0.326 S
0.000 0.000 0.674 S
0.000 0.500 0.000 S
0.000 0.500 0.500 S
0.500 0.000 0.000 S
0.500 0.000 0.500 S
0.500 0.500 0.174 S
0.500 0.500 0.826 S
```

- Final energy: -4.366 eV per atom
- SG: I4/mmm, No. 139

---

| no. | density of states at the Fermi level (states/eV/cell) |
| --- | --- |
| 1 | 3.72 |
| 2 | 2.32 |
| 3 | 1.02 |
| 4 | 5.01 |
| 5 | 7.25 |
| 6 | 6.90 |
| 7 | 1.32 |
| 8 | 3.95 |
| 9 | 13.49 |
| 10 | 2.38 |
| 11 | 16.88 |
| 12 | 9.42 |
| 13 | 7.72 |
| 14 | 5.41 |
| 15 | 18.74 |
| 16 | 7.92 |
| 17 | 3.08 |
| 18 | 5.46 |
| 19 | 5.00 |
| 20 | 14.21 |